Entry 1:
# ZnCr2Ru, relaxed, DFT PBE
data_ZnCr2Ru
_symmetry_space_group_name_H-M 'F -4 3 m'
_symmetry_Int_Tables_number 216
_symmetry_space_group_name_Hall 'F -4 2 3'
_cell_length_a 5.966
_cell_length_b 5.966
_cell_length_c 5.966
_cell_angle_alpha 90.00
_cell_angle_beta 90.00
_cell_angle_gamma 90.00
loop_
_atom_site_label
_atom_site_type_symbol
_atom_site_fract_x
_atom_site_fract_y
_atom_site_fract_z
Zn1 Zn 0.000 0.000 0.000
Cr1 Cr 0.000 0.000 0.500
Cr2 Cr 0.250 0.250 0.250
Ru1 Ru 0.250 0.250 0.750
# - V (Å³ per atom) = 13.3
# - formation energy (eV/atom) = 0.1029
# - ρ (g cm⁻³) = 8.5
# - total moment (Bohr magnetons per cell) = 7.23

---

Entry 2:
# Cs3TlFe2Cl9, relaxed, DFT PBE
data_Cs3TlFe2Cl9
_symmetry_space_group_name_H-M 'P -3 m 1'
_symmetry_Int_Tables_number 164
_symmetry_space_group_name_Hall '-P 3 2"'
_cell_length_a 7.4269
_cell_length_b 7.4269
_cell_length_c 9.6902
_cell_angle_alpha 90.00
_cell_angle_beta 90.00
_cell_angle_gamma 120.00
loop_
_atom_site_label
_atom_site_type_symbol
_atom_site_fract_x
_atom_site_fract_y
_atom_site_fract_z
Cs1 Cs 0.0000 0.0000 0.0000
Cs2 Cs 0.3333 0.6667 0.6965
Tl1 Tl 0.0000 0.0000 0.5000
Fe1 Fe 0.3333 0.6667 0.1570
Cl1 Cl 0.0000 0.5000 0.0000
Cl2 Cl 0.1801 0.3602 0.2907
# - V (Å³ per atom) = 30.9
# - ρ (g cm⁻³) = 3.7
# - total moment (Bohr magnetons per cell) = 9.00

---

Entry 3:
# ErScTe, relaxed, DFT PBE
data_ErScTe
_symmetry_space_group_name_H-M 'P 4/n m m'
_symmetry_Int_Tables_number 129
_cell_length_a 4.216
_cell_length_b 4.216
_cell_length_c 8.357
_cell_angle_alpha 90.00
_cell_angle_beta 90.00
_cell_angle_gamma 90.00
loop_
_symmetry_equiv_pos_as_xyz
'x,y,z'
'-x,-y,-z'
'-y+1/2,x,z'
'y+1/2,-x,-z'
'-x+1/2,-y+1/2,z'
'x+1/2,y+1/2,-z'
'y,-x+1/2,z'
'-y,x+1/2,-z'
'x+1/2,-y,-z'
'-x+1/2,y,z'
'-y,-x,-z'
'y,x,z'
'-x,y+1/2,-z'
'x,-y+1/2,z'
'y+1/2,x+1/2,-z'
'-y+1/2,-x+1/2,z'
loop_
_atom_site_label
_atom_site_type_symbol
_atom_site_fract_x
_atom_site_fract_y
_atom_site_fract_z
Er1 Er 0.250 0.250 0.136
Sc1 Sc 0.250 0.750 0.500
Te1 Te 0.250 0.250 0.761
# - V (Å³ per atom) = 24.8
# - E above lowest polymorph (meV/atom) = 0
# - ρ (g cm⁻³) = 7.6
# - total moment (Bohr magnetons per cell) = 1.00

---

Entry 4:
# DyScHgPt, relaxed, DFT PBE
data_DyScHgPt
_symmetry_space_group_name_H-M 'P 4 m m'
_symmetry_Int_Tables_number 99
_cell_length_a 3.420
_cell_length_b 3.420
_cell_length_c 7.395
_cell_angle_alpha 90.00
_cell_angle_beta 90.00
_cell_angle_gamma 90.00
loop_
_symmetry_equiv_pos_as_xyz
'x,y,z'
'-y,x,z'
'-x,-y,z'
'y,-x,z'
'-x,y,z'
'y,x,z'
'x,-y,z'
'-y,-x,z'
loop_
_atom_site_label
_atom_site_type_symbol
_atom_site_fract_x
_atom_site_fract_y
_atom_site_fract_z
Dy1 Dy 0.000 0.000 0.000
Sc1 Sc 0.000 0.000 0.552
Hg1 Hg 0.500 0.500 0.297
Pt1 Pt 0.500 0.500 0.748
# - V (Å³ per atom) = 21.6
# - formation energy (eV/atom) = -0.8457
# - E above lowest polymorph (meV/atom) = 0
# - ρ (g cm⁻³) = 11.6
# - total moment (Bohr magnetons per cell) = 0.00

---

Entry 5:
# La3In, relaxed, DFT PBE
data_La3In
_symmetry_space_group_name_H-M 'R -3 m'
_symmetry_Int_Tables_number 166
_symmetry_space_group_name_Hall '-R 3 2"'
_cell_length_a 3.7258
_cell_length_b 3.7258
_cell_length_c 34.1523
_cell_angle_alpha 90.00
_cell_angle_beta 90.00
_cell_angle_gamma 120.00
loop_
_atom_site_label
_atom_site_type_symbol
_atom_site_fract_x
_atom_site_fract_y
_atom_site_fract_z
La1 La 0.0000 0.0000 0.0000
La2 La 0.0000 0.0000 0.2458
In1 In 0.0000 0.0000 0.5000
# - V (Å³ per atom) = 34.2
# - formation energy (eV/atom) = -0.1357
# - E above lowest polymorph (meV/atom) = 167
# - ρ (g cm⁻³) = 6.4
# - total moment (Bohr magnetons per cell) = 0.00

---

Number 1: DFT total energy -0.270 hartree per atom. Number 2: DFT total energy -0.142 hartree per atom. Number 3: DFT total energy -0.203 hartree per atom. Number 4: DFT total energy -0.190 hartree per atom. Number 5: DFT total energy -0.166 hartree per atom.